(1)
A plane-wave DFT calculation with PBE was carried out for a relaxed Nd3HoTh crystal.

Structure (CIF):
```
data_Nd3HoTh
_symmetry_space_group_name_H-M 'P 1'
_symmetry_Int_Tables_number 1
_symmetry_space_group_name_Hall 'P 1'
_cell_length_a 6.317
_cell_length_b 5.902
_cell_length_c 9.701
_cell_angle_alpha 90.00
_cell_angle_beta 108.97
_cell_angle_gamma 90.00
loop_
_atom_site_label
_atom_site_type_symbol
_atom_site_fract_x
_atom_site_fract_y
_atom_site_fract_z
_atom_site_occupancy
Nd1 Nd 0.147 0.250 0.096 1
Nd2 Nd 0.270 0.750 0.711 1
Nd3 Nd 0.332 0.250 0.508 1
Nd4 Nd 0.668 0.750 0.492 1
Nd5 Nd 0.730 0.250 0.289 1
Nd6 Nd 0.853 0.750 0.904 1
Ho1 Ho 0.071 0.750 0.299 1
Ho2 Ho 0.929 0.250 0.701 1
Th1 Th 0.475 0.750 0.100 1
Th2 Th 0.525 0.250 0.900 1
```

Results
Space-group type = P2_1/m, No. 11
Polymorph energy (0 for the lowest one) = 0.0 meV per atom
Energy relative to the elements = 27 kJ/mol of formula units
Density of states at the Fermi level = 8.464 states/eV/f.u.

(2)
A plane-wave DFT calculation with PBE was carried out for a relaxed Nd6Ho2Th crystal.

Structure (CIF):
```
data_Nd6Ho2Th
_symmetry_space_group_name_H-M 'P 1'
_symmetry_Int_Tables_number 1
_symmetry_space_group_name_Hall 'P 1'
_cell_length_a 3.631
_cell_length_b 3.631
_cell_length_c 27.143
_cell_angle_alpha 90.00
_cell_angle_beta 90.00
_cell_angle_gamma 120.00
loop_
_atom_site_label
_atom_site_type_symbol
_atom_site_fract_x
_atom_site_fract_y
_atom_site_fract_z
_atom_site_occupancy
Nd1 Nd 0.000 0.000 0.067 1
Nd2 Nd 0.000 0.000 0.278 1
Nd3 Nd 0.000 0.000 0.722 1
Nd4 Nd 0.000 0.000 0.933 1
Nd5 Nd 0.333 0.667 0.391 1
Nd6 Nd 0.333 0.667 0.609 1
Ho1 Ho 0.333 0.667 0.171 1
Ho2 Ho 0.333 0.667 0.829 1
Th1 Th 0.000 0.000 0.500 1
```

Results
Space-group type = P-6m2, No. 187
Energy relative to the elements = 52 kJ/mol of formula units
Density of states at the Fermi level = 14.801 states/eV/f.u.

(3)
A plane-wave DFT calculation with PBE was carried out for a relaxed NdHo10Th4 crystal.

Structure (CIF):
```
data_NdHo10Th4
_symmetry_space_group_name_H-M 'P 1'
_symmetry_Int_Tables_number 1
_symmetry_space_group_name_Hall 'P 1'
_cell_length_a 8.685
_cell_length_b 8.685
_cell_length_c 8.685
_cell_angle_alpha 112.62
_cell_angle_beta 112.62
_cell_angle_gamma 103.34
loop_
_atom_site_label
_atom_site_type_symbol
_atom_site_fract_x
_atom_site_fract_y
_atom_site_fract_z
_atom_site_occupancy
Nd1 Nd 0.000 0.000 0.000 1
Ho1 Ho 0.131 0.227 0.671 1
Ho2 Ho 0.227 0.556 0.096 1
Ho3 Ho 0.250 0.750 0.500 1
Ho4 Ho 0.444 0.541 0.671 1
Ho5 Ho 0.459 0.131 0.904 1
Ho6 Ho 0.541 0.869 0.096 1
Ho7 Ho 0.556 0.459 0.329 1
Ho8 Ho 0.750 0.250 0.500 1
Ho9 Ho 0.773 0.444 0.904 1
Ho10 Ho 0.869 0.773 0.329 1
Th1 Th 0.065 0.661 0.727 1
Th2 Th 0.339 0.065 0.404 1
Th3 Th 0.661 0.935 0.596 1
Th4 Th 0.935 0.339 0.273 1
```

Results
Space-group type = I4/m, No. 87
Energy relative to the elements = 549 kJ/mol of formula units
Density of states at the Fermi level = 23.889 states/eV/f.u.

(4)
A plane-wave DFT calculation with PBE was carried out for a relaxed Nd4Ho5Th2 crystal.

Structure (CIF):
```
data_Nd4Ho5Th2
_symmetry_space_group_name_H-M 'P 1'
_symmetry_Int_Tables_number 1
_symmetry_space_group_name_Hall 'P 1'
_cell_length_a 3.595
_cell_length_b 9.497
_cell_length_c 10.773
_cell_angle_alpha 86.17
_cell_angle_beta 89.97
_cell_angle_gamma 79.19
loop_
_atom_site_label
_atom_site_type_symbol
_atom_site_fract_x
_atom_site_fract_y
_atom_site_fract_z
_atom_site_occupancy
Nd1 Nd 0.089 0.323 0.455 1
Nd2 Nd 0.361 0.778 0.824 1
Nd3 Nd 0.639 0.222 0.176 1
Nd4 Nd 0.911 0.677 0.545 1
Ho1 Ho 0.000 0.500 0.000 1
Ho2 Ho 0.274 0.952 0.362 1
Ho3 Ho 0.452 0.595 0.268 1
Ho4 Ho 0.548 0.405 0.732 1
Ho5 Ho 0.726 0.048 0.638 1
Th1 Th 0.183 0.134 0.906 1
Th2 Th 0.817 0.866 0.094 1
```

Results
Space-group type = P-1, No. 2
Polymorph energy (0 for the lowest one) = 0.0 meV per atom
Energy relative to the elements = 30 kJ/mol of formula units
Density of states at the Fermi level = 14.515 states/eV/f.u.

(5)
A plane-wave DFT calculation with PBE was carried out for a relaxed NdHoThTl crystal.

Structure (CIF):
```
data_NdHoThTl
_symmetry_space_group_name_H-M 'P 1'
_symmetry_Int_Tables_number 1
_symmetry_space_group_name_Hall 'P 1'
_cell_length_a 5.527
_cell_length_b 5.527
_cell_length_c 5.527
_cell_angle_alpha 60.00
_cell_angle_beta 60.00
_cell_angle_gamma 60.00
loop_
_atom_site_label
_atom_site_type_symbol
_atom_site_fract_x
_atom_site_fract_y
_atom_site_fract_z
_atom_site_occupancy
Nd1 Nd 0.000 0.000 0.000 1
Ho1 Ho 0.500 0.500 0.500 1
Th1 Th 0.750 0.750 0.750 1
Tl1 Tl 0.250 0.250 0.250 1
```

Results
Space-group type = F-43m, No. 216
Energy relative to the elements = 21 kJ/mol of formula units
Density of states at the Fermi level = 6.609 states/eV/f.u.

(6)
A plane-wave DFT calculation with PBE was carried out for a relaxed Nd2Ho4TmTh crystal.

Structure (CIF):
```
data_Nd2Ho4TmTh
_symmetry_space_group_name_H-M 'P 1'
_symmetry_Int_Tables_number 1
_symmetry_space_group_name_Hall 'P 1'
_cell_length_a 9.502
_cell_length_b 9.502
_cell_length_c 6.785
_cell_angle_alpha 110.91
_cell_angle_beta 110.91
_cell_angle_gamma 88.70
loop_
_atom_site_label
_atom_site_type_symbol
_atom_site_fract_x
_atom_site_fract_y
_atom_site_fract_z
_atom_site_occupancy
Nd1 Nd 0.000 0.000 0.000 1
Nd2 Nd 0.000 0.000 0.500 1
Nd3 Nd 0.000 0.500 0.000 1
Nd4 Nd 0.500 0.000 0.500 1
Ho1 Ho 0.254 0.255 0.505 1
Ho2 Ho 0.255 0.254 0.005 1
Ho3 Ho 0.255 0.745 0.507 1
Ho4 Ho 0.255 0.745 0.993 1
Ho5 Ho 0.745 0.255 0.007 1
Ho6 Ho 0.745 0.255 0.493 1
Ho7 Ho 0.745 0.746 0.995 1
Ho8 Ho 0.746 0.745 0.495 1
Tm1 Tm 0.500 0.500 0.000 1
Tm2 Tm 0.500 0.500 0.500 1
Th1 Th 0.000 0.500 0.500 1
Th2 Th 0.500 0.000 0.000 1
```

Results
Space-group type = C2/c, No. 15
Energy relative to the elements = 332 kJ/mol of formula units
Density of states at the Fermi level = 18.219 states/eV/f.u.

(7)
A plane-wave DFT calculation with PBE was carried out for a relaxed Nd5Ho2TmTh crystal.

Structure (CIF):
```
data_Nd5Ho2TmTh
_symmetry_space_group_name_H-M 'P 1'
_symmetry_Int_Tables_number 1
_symmetry_space_group_name_Hall 'P 1'
_cell_length_a 11.153
_cell_length_b 11.153
_cell_length_c 10.607
_cell_angle_alpha 90.00
_cell_angle_beta 90.00
_cell_angle_gamma 151.92
loop_
_atom_site_label
_atom_site_type_symbol
_atom_site_fract_x
_atom_site_fract_y
_atom_site_fract_z
_atom_site_occupancy
Nd1 Nd 0.000 0.000 0.000 1
Nd2 Nd 0.000 0.000 0.500 1
Nd3 Nd 0.126 0.874 0.750 1
Nd4 Nd 0.222 0.778 0.057 1
Nd5 Nd 0.222 0.778 0.443 1
Nd6 Nd 0.499 0.501 0.250 1
Nd7 Nd 0.501 0.499 0.750 1
Nd8 Nd 0.778 0.222 0.557 1
Nd9 Nd 0.778 0.222 0.943 1
Nd10 Nd 0.874 0.126 0.250 1
Ho1 Ho 0.387 0.613 0.503 1
Ho2 Ho 0.387 0.613 0.997 1
Ho3 Ho 0.613 0.387 0.003 1
Ho4 Ho 0.613 0.387 0.497 1
Tm1 Tm 0.102 0.898 0.250 1
Tm2 Tm 0.898 0.102 0.750 1
Th1 Th 0.288 0.712 0.750 1
Th2 Th 0.712 0.288 0.250 1
```

Results
Space-group type = Cmcm, No. 63
Energy relative to the elements = 123 kJ/mol of formula units
Density of states at the Fermi level = 12.999 states/eV/f.u.

(8)
A plane-wave DFT calculation with PBE was carried out for a relaxed Nd2HoTm2Th2 crystal.

Structure (CIF):
```
data_Nd2HoTm2Th2
_symmetry_space_group_name_H-M 'P 1'
_symmetry_Int_Tables_number 1
_symmetry_space_group_name_Hall 'P 1'
_cell_length_a 9.029
_cell_length_b 9.029
_cell_length_c 8.528
_cell_angle_alpha 117.23
_cell_angle_beta 117.23
_cell_angle_gamma 22.14
loop_
_atom_site_label
_atom_site_type_symbol
_atom_site_fract_x
_atom_site_fract_y
_atom_site_fract_z
_atom_site_occupancy
Nd1 Nd 0.145 0.145 0.373 1
Nd2 Nd 0.855 0.855 0.627 1
Ho1 Ho 0.500 0.500 0.500 1
Tm1 Tm 0.290 0.290 0.199 1
Tm2 Tm 0.710 0.710 0.801 1
Th1 Th 0.066 0.066 0.905 1
Th2 Th 0.934 0.934 0.095 1
```

Results
Space-group type = C2/m, No. 12
Energy relative to the elements = 115 kJ/mol of formula units
Density of states at the Fermi level = 10.637 states/eV/f.u.

(9)
A plane-wave DFT calculation with PBE was carried out for a relaxed Nd3HoTm6Th2 crystal.

Structure (CIF):
```
data_Nd3HoTm6Th2
_symmetry_space_group_name_H-M 'P 1'
_symmetry_Int_Tables_number 1
_symmetry_space_group_name_Hall 'P 1'
_cell_length_a 6.166
_cell_length_b 6.166
_cell_length_c 11.693
_cell_angle_alpha 95.05
_cell_angle_beta 95.05
_cell_angle_gamma 119.98
loop_
_atom_site_label
_atom_site_type_symbol
_atom_site_fract_x
_atom_site_fract_y
_atom_site_fract_z
_atom_site_occupancy
Nd1 Nd 0.000 0.000 0.000 1
Nd2 Nd 0.334 0.666 0.000 1
Nd3 Nd 0.666 0.334 0.000 1
Ho1 Ho 0.500 0.500 0.500 1
Tm1 Tm 0.081 0.418 0.255 1
Tm2 Tm 0.244 0.244 0.745 1
Tm3 Tm 0.418 0.081 0.255 1
Tm4 Tm 0.582 0.919 0.745 1
Tm5 Tm 0.756 0.756 0.255 1
Tm6 Tm 0.919 0.582 0.745 1
Th1 Th 0.167 0.833 0.500 1
Th2 Th 0.833 0.167 0.500 1
```

Results
Space-group type = C2/m, No. 12
Energy relative to the elements = 22 kJ/mol of formula units
Density of states at the Fermi level = 15.137 states/eV/f.u.

(10)
A plane-wave DFT calculation with PBE was carried out for a relaxed NdHo6Tm2Th3 crystal.

Structure (CIF):
```
data_NdHo6Tm2Th3
_symmetry_space_group_name_H-M 'P 1'
_symmetry_Int_Tables_number 1
_symmetry_space_group_name_Hall 'P 1'
_cell_length_a 6.157
_cell_length_b 6.157
_cell_length_c 11.693
_cell_angle_alpha 95.04
_cell_angle_beta 95.04
_cell_angle_gamma 120.00
loop_
_atom_site_label
_atom_site_type_symbol
_atom_site_fract_x
_atom_site_fract_y
_atom_site_fract_z
_atom_site_occupancy
Nd1 Nd 0.000 0.000 0.000 1
Ho1 Ho 0.085 0.419 0.254 1
Ho2 Ho 0.250 0.250 0.746 1
Ho3 Ho 0.419 0.085 0.254 1
Ho4 Ho 0.581 0.915 0.746 1
Ho5 Ho 0.750 0.750 0.254 1
Ho6 Ho 0.915 0.581 0.746 1
Tm1 Tm 0.333 0.667 0.000 1
Tm2 Tm 0.667 0.333 0.000 1
Th1 Th 0.166 0.834 0.500 1
Th2 Th 0.500 0.500 0.500 1
Th3 Th 0.834 0.166 0.500 1
```

Results
Space-group type = C2/m, No. 12
Energy relative to the elements = 26 kJ/mol of formula units
Density of states at the Fermi level = 17.683 states/eV/f.u.